No. 1
## BaTcRh2 (PBE)

Data for a relaxed BaTcRh2 crystal.

Cell: 5.1065 5.1065 2.9814 Å, 90.00 90.00 90.00°
Closest atoms and distances in Å follow each position.
Sites, in units of the cell vectors:
Ba (0.0000, 0.0000, 0.0000)  8 Rh 2.96, 2 Ba 2.98
Tc (0.5000, 0.5000, 0.0000)  8 Rh 2.96, 2 Tc 2.98
Rh (0.0000, 0.5000, 0.5000)  4 Ba 2.96, 4 Tc 2.96, 2 Rh 2.98
Rh (0.5000, 0.0000, 0.5000)  4 Ba 2.96, 4 Tc 2.96, 2 Rh 2.98

Computed properties:
As for the energy above the lowest structure with this stoichiometry: 12.87 kcal/mol of atoms.

***

No. 2
## LuMgRh (PBE)

Data for a relaxed LuMgRh crystal.

Cell: 4.5603 4.5603 4.5603 Å, 60.00 60.00 60.00°
Closest atoms and distances in Å follow each position.
Sites, in units of the cell vectors:
Lu (0.0000, 0.0000, 0.0000)  4 Rh 2.79
Mg (0.5000, 0.5000, 0.5000)  4 Rh 2.79
Rh (0.7500, 0.7500, 0.7500)  4 Mg 2.79, 4 Lu 2.79

Computed properties:
The calculation puts the energy at -5.03 eV/atom.

***

No. 3
## RbAu3C (PBE)

Data for a relaxed RbAu3C crystal.

Cell: 6.2682 6.2682 6.2682 Å, 90.00 90.00 90.00°
Closest atoms and distances in Å follow each position.
Sites, in units of the cell vectors:
Rb (0.0000, 0.0000, 0.0000)  6 Au 3.13
Au (0.0000, 0.0000, 0.5000)  2 Rb 3.13
Au (0.0000, 0.5000, 0.0000)  2 Rb 3.13
Au (0.5000, 0.0000, 0.0000)  2 Rb 3.13
C (0.5000, 0.5000, 0.5000)  12 Au 4.43

Computed properties:
As for the energy above the lowest structure with this stoichiometry: 46.44 kcal/mol of atoms.

***

No. 4
## Hf6FePb (PBE)

Data for a relaxed Hf6FePb crystal.

Cell: 5.8645 5.8645 5.8645 Å, 103.64 103.64 103.64°
Closest atoms and distances in Å follow each position.
Sites, in units of the cell vectors:
Hf (0.2186, 0.2186, 0.6284)  1 Fe 2.43
Hf (0.2186, 0.6284, 0.2186)  1 Fe 2.43
Hf (0.3716, 0.7814, 0.7814)  1 Fe 2.43
Hf (0.6284, 0.2186, 0.2186)  1 Fe 2.43
Hf (0.7814, 0.3716, 0.7814)  1 Fe 2.43
Hf (0.7814, 0.7814, 0.3716)  1 Fe 2.43
Fe (0.5000, 0.5000, 0.5000)  6 Hf 2.43
Pb (0.0000, 0.0000, 0.0000)  12 Hf 3.15-3.41

Computed properties:
The calculation puts the energy at -8.82 eV/atom.

***

No. 5
## Tb3Ce2YHo6 (PBE)

Data for a relaxed Tb3Ce2YHo6 crystal.

Cell: 6.1234 6.1234 11.7019 Å, 95.00 95.00 119.98°
Closest atoms and distances in Å follow each position.
Sites, in units of the cell vectors:
Tb (0.0000, 0.0000, 0.0000)  6 Ho 3.53-3.54, 6 Tb 3.53-3.54
Tb (0.3339, 0.6661, 0.0000)  6 Tb 3.52-3.54, 6 Ho 3.53-3.55
Tb (0.6661, 0.3339, 0.0000)  6 Tb 3.52-3.54, 6 Ho 3.53-3.55
Ce (0.1664, 0.8336, 0.5000)  6 Ho 3.51-3.52, 3 Ce 3.53-3.54, 3 Y 3.53-3.54
Ce (0.8336, 0.1664, 0.5000)  6 Ho 3.51-3.52, 3 Ce 3.53-3.54, 3 Y 3.53-3.54
Y (0.5000, 0.5000, 0.5000)  6 Ho 3.53, 6 Ce 3.53-3.54
Ho (0.0805, 0.4163, 0.2510)  2 Ce 3.51-3.52, 6 Ho 3.52-3.56, 1 Y 3.53, 3 Tb 3.53-3.55
Ho (0.2478, 0.2478, 0.7492)  2 Ce 3.52, 6 Ho 3.52-3.56, 1 Y 3.53, 3 Tb 3.53-3.54
Ho (0.4163, 0.0805, 0.2510)  2 Ce 3.51-3.52, 6 Ho 3.52-3.56, 1 Y 3.53, 3 Tb 3.53-3.55
Ho (0.5837, 0.9195, 0.7490)  2 Ce 3.51-3.52, 6 Ho 3.52-3.56, 1 Y 3.53, 3 Tb 3.53-3.55
Ho (0.7522, 0.7522, 0.2508)  2 Ce 3.52, 6 Ho 3.52-3.56, 1 Y 3.53, 3 Tb 3.53-3.54
Ho (0.9195, 0.5837, 0.7490)  2 Ce 3.51-3.52, 6 Ho 3.52-3.56, 1 Y 3.53, 3 Tb 3.53-3.55

Computed properties:
The calculation puts the energy at -4.93 eV/atom.

***

No. 6
## SmDy2AlS6 (PBE)

Data for a relaxed SmDy2AlS6 crystal.

Cell: 7.1511 7.1511 7.1511 Å, 56.47 56.47 56.47°
Closest atoms and distances in Å follow each position.
Sites, in units of the cell vectors:
Sm (0.0000, 0.0000, 0.0000)  6 S 2.73-2.87
Dy (0.2905, 0.2905, 0.2905)  6 S 2.74-2.79
Dy (0.7957, 0.7957, 0.7957)  6 S 2.69-2.81
Al (0.4925, 0.4925, 0.4925)  6 S 2.46-2.50
S (0.1234, 0.6888, 0.3980)  1 Al 2.50, 2 Dy 2.69-2.79, 1 Sm 2.73
S (0.2322, 0.5968, 0.8568)  1 Al 2.46, 1 Dy 2.74
S (0.3980, 0.1234, 0.6888)  1 Al 2.50, 2 Dy 2.69-2.79, 1 Sm 2.73
S (0.5968, 0.8568, 0.2322)  1 Al 2.46, 1 Dy 2.74
S (0.6888, 0.3980, 0.1234)  1 Al 2.50, 2 Dy 2.69-2.79, 1 Sm 2.73
S (0.8568, 0.2322, 0.5968)  1 Al 2.46, 1 Dy 2.74

Computed properties:
For the formation energy (no corrections), the calculation gives -1.732 eV per atom.

***

No. 7
## Mg2CdMo (PBE)

Data for a relaxed Mg2CdMo crystal.

Cell: 5.1441 5.1441 5.1441 Å, 131.55 131.55 70.95°
Closest atoms and distances in Å follow each position.
Sites, in units of the cell vectors:
Mg (0.2500, 0.7500, 0.5000)  4 Cd 2.97, 4 Mo 2.97, 4 Mg 2.99
Mg (0.7500, 0.2500, 0.5000)  4 Cd 2.97, 4 Mo 2.97, 4 Mg 2.99
Cd (0.0000, 0.0000, 0.0000)  8 Mg 2.97, 4 Mo 2.99
Mo (0.5000, 0.5000, 0.0000)  8 Mg 2.97, 4 Cd 2.99

Computed properties:
The calculation puts the energy at -3.36 eV/atom.

***

No. 8
## CeYCu (PBE)

Data for a relaxed CeYCu crystal.

Cell: 6.7024 6.7024 6.7024 Å, 149.94 149.94 43.03°
Closest atoms and distances in Å follow each position.
Sites, in units of the cell vectors:
Ce (0.0000, 0.0000, 0.0000)  4 Cu 3.08
Y (0.7170, 0.7170, 0.0000)  4 Cu 2.98
Cu (0.3518, 0.3518, 0.0000)  4 Y 2.98, 4 Ce 3.08

Computed properties:
As for the energy above the lowest structure with this stoichiometry: 0.84 kcal/mol of atoms.